No. 1
Entry from Alexandria: a relaxed structure of V2HPdW (PBE-GGA).

Calculated density (g cm⁻³): 10.8
Excess energy over the best structure of this formula in the dataset (meV per atom): 0

a b c (Å): 3.9620 3.9620 3.8456
angles (deg): 90.00 90.00 90.00
Positions (direct):
H (0.0000, 0.0000, 0.0000)
V (0.0000, 0.5000, 0.0000)
V (0.5000, 0.0000, 0.0000)
W (0.0000, 0.0000, 0.5000)
Pd (0.5000, 0.5000, 0.5000)

---

No. 2
Entry from Alexandria: a relaxed structure of V2ZnHPd (PBE-GGA).

Calculated density (g cm⁻³): 7.9
Excess energy over the best structure of this formula in the dataset (meV per atom): 0

a b c (Å): 3.6596 3.6596 4.3337
angles (deg): 90.00 90.00 90.00
Positions (direct):
Pd (0.5000, 0.5000, 0.5000)
H (0.0000, 0.0000, 0.0000)
V (0.0000, 0.5000, 0.0000)
V (0.5000, 0.0000, 0.0000)
Zn (0.0000, 0.0000, 0.5000)

---

No. 3
Entry from Alexandria: a relaxed structure of Zr2VHPd (PBE-GGA).

E (eV per atom): -7.2341
Calculated density (g cm⁻³): 7.5

a b c (Å): 4.5946 3.5881 4.5946
angles (deg): 90.00 90.00 90.00
Each line ends with the local moment (μB).
Positions (direct):
Zr (0.5000, 0.0000, 0.0000)  0.00
Zr (0.0000, 0.0000, 0.5000)  0.00
V (0.0000, 0.5000, 0.0000)  0.80
H (0.0000, 0.0000, 0.0000)  0.00
Pd (0.5000, 0.5000, 0.5000)  0.03

---

No. 4
Entry from Alexandria: a relaxed structure of H3PdW (PBE-GGA).

Calculated density (g cm⁻³): 11.3
Excess energy over the best structure of this formula in the dataset (meV per atom): 0

a b c (Å): 3.5029 3.5029 3.5029
angles (deg): 90.00 90.00 90.00
Positions (direct):
Pd (0.5000, 0.5000, 0.5000)
H (0.0000, 0.5000, 0.0000)
H (0.5000, 0.0000, 0.0000)
H (0.0000, 0.0000, 0.5000)
W (0.0000, 0.0000, 0.0000)

---

No. 5
Entry from Alexandria: a relaxed structure of HPd3W (PBE-GGA).

Calculated density (g cm⁻³): 12.8
Excess energy over the best structure of this formula in the dataset (meV per atom): 0

a b c (Å): 4.0256 4.0256 4.0256
angles (deg): 90.00 90.00 90.00
Each line ends with the local moment (μB).
Positions (direct):
H (0.0000, 0.0000, 0.0000)  0.00
Pd (0.0000, 0.0000, 0.5000)  0.19
Pd (0.0000, 0.5000, 0.0000)  0.21
Pd (0.5000, 0.0000, 0.0000)  0.30
W (0.5000, 0.5000, 0.5000)  1.87

---

No. 6
Entry from Alexandria: a relaxed structure of HPd3W (PBE-GGA).

Calculated density (g cm⁻³): 7.3
Excess energy over the best structure of this formula in the dataset (meV per atom): 1392

a b c (Å): 4.8523 4.8523 4.8523
angles (deg): 90.00 90.00 90.00
Each line ends with the local moment (μB).
Positions (direct):
Pd (0.0000, 0.0000, 0.5000)  0.01
Pd (0.0000, 0.5000, 0.0000)  0.01
Pd (0.5000, 0.0000, 0.0000)  0.02
H (0.5000, 0.5000, 0.5000)  0.31
W (0.0000, 0.0000, 0.0000)  0.13

---

No. 7
Entry from Alexandria: a relaxed structure of H4PdW2 (PBE-GGA).

E (eV per atom): -5.9520
Calculated density (g cm⁻³): 12.6

a b c (Å): 3.2179 3.2179 6.5081
angles (deg): 75.69 75.69 90.00
Positions (direct):
W (0.3120, 0.3120, 0.3761)
W (0.6880, 0.6880, 0.6239)
Pd (0.0000, 0.0000, 0.0000)
H (0.5000, 0.0000, 0.0000)
H (0.1637, 0.1637, 0.6726)
H (0.8363, 0.8363, 0.3274)
H (0.0000, 0.5000, 0.0000)

---

No. 8
Entry from Alexandria: a relaxed structure of H3PdW (PBE-GGA).

Calculated density (g cm⁻³): 12.0
Excess energy over the best structure of this formula in the dataset (meV per atom): 153

a b c (Å): 3.4398 3.4398 3.4398
angles (deg): 90.00 90.00 90.00
Positions (direct):
H (0.0000, 0.0000, 0.5000)
H (0.0000, 0.5000, 0.0000)
H (0.5000, 0.0000, 0.0000)
W (0.5000, 0.5000, 0.5000)
Pd (0.0000, 0.0000, 0.0000)

---

No. 9
Entry from Alexandria: a relaxed structure of YHPd3 (PBE-GGA).

Calculated density (g cm⁻³): 8.3
Excess energy over the best structure of this formula in the dataset (meV per atom): 278

a b c (Å): 13.7402 6.7148 6.7148
angles (deg): 142.82 148.42 31.58
Positions (direct):
Pd (0.1618, 0.5315, 0.4685)
Pd (0.3721, 0.7111, 0.2889)
Pd (0.0950, 0.8131, 0.1869)
Pd (0.9050, 0.1869, 0.8131)
Pd (0.8382, 0.4685, 0.5315)
Pd (0.6279, 0.2889, 0.7111)
Y (0.3529, 0.9963, 0.0037)
Y (0.6471, 0.0037, 0.9963)
H (0.8450, 0.9797, 0.0203)
H (0.1550, 0.0203, 0.9797)

---

No. 10
Entry from Alexandria: a relaxed structure of YH3Pd3 (PBE-GGA).

Calculated density (g cm⁻³): 7.8
Excess energy over the best structure of this formula in the dataset (meV per atom): 255

a b c (Å): 5.5374 5.5374 7.3259
angles (deg): 67.79 67.79 60.00
Positions (direct):
Y (0.6843, 0.6843, 0.9470)
Y (0.3157, 0.3157, 0.0530)
H (0.0372, 0.7734, 0.6778)
H (0.2266, 0.4884, 0.3222)
H (0.5116, 0.0372, 0.6778)
H (0.9628, 0.2266, 0.3222)
H (0.4884, 0.9628, 0.3222)
H (0.7734, 0.5116, 0.6778)
Pd (0.7722, 0.1781, 0.6867)
Pd (0.2278, 0.8219, 0.3133)
Pd (0.1781, 0.3630, 0.6867)
Pd (0.6370, 0.2278, 0.3133)
Pd (0.3630, 0.7722, 0.6867)
Pd (0.8219, 0.6370, 0.3133)

---

No. 11
Entry from Alexandria: a relaxed structure of YHPd3 (PBE-GGA).

Calculated density (g cm⁻³): 8.5
Excess energy over the best structure of this formula in the dataset (meV per atom): 296

a b c (Å): 5.4019 5.4019 6.6822
angles (deg): 66.16 66.16 90.00
Positions (direct):
Pd (0.1440, 0.3873, 0.7120)
Pd (0.6259, 0.6259, 0.7482)
Pd (0.1440, 0.9007, 0.7120)
Pd (0.6127, 0.8560, 0.2880)
Pd (0.0993, 0.8560, 0.2880)
Pd (0.3741, 0.3741, 0.2518)
H (0.2500, 0.7500, 0.5000)
H (0.0000, 0.0000, 0.0000)
Y (0.5783, 0.0783, 0.8433)
Y (0.9217, 0.4217, 0.1567)

---

No. 12
Entry from Alexandria: a relaxed structure of YHPd3 (PBE-GGA).

Calculated density (g cm⁻³): 9.4
Excess energy over the best structure of this formula in the dataset (meV per atom): 43

a b c (Å): 4.1701 4.1701 4.1701
angles (deg): 90.00 90.00 90.00
Positions (direct):
H (0.0000, 0.0000, 0.0000)
Pd (0.0000, 0.0000, 0.5000)
Pd (0.0000, 0.5000, 0.0000)
Pd (0.5000, 0.0000, 0.0000)
Y (0.5000, 0.5000, 0.5000)

---

No. 13
Entry from Alexandria: a relaxed structure of YHPd3 (PBE-GGA).

Calculated density (g cm⁻³): 9.3
Excess energy over the best structure of this formula in the dataset (meV per atom): 47

a b c (Å): 5.2127 4.1176 8.2777
angles (deg): 90.00 66.42 66.70
Positions (direct):
Pd (0.8536, 0.2837, 0.6886)
Pd (0.8552, 0.2830, 0.1872)
Pd (0.3411, 0.0397, 0.8157)
Pd (0.3687, 0.0262, 0.3105)
Pd (0.8562, 0.7823, 0.4377)
Pd (0.8546, 0.7831, 0.9391)
Y (0.3549, 0.5330, 0.0631)
Y (0.3549, 0.5330, 0.5631)
H (0.7635, 0.8325, 0.7316)
H (0.9463, 0.2355, 0.3945)